No. 1
Below is crystalline La2Tb5Y4 at its relaxed geometry, with properties calculated at the PBE level.

Cell lengths 12.7503, 12.7503, 12.7503 Å; angles 164.15, 138.01, 45.15 degrees
Fractional coordinates of all 11 atoms:
La 0.2353 0.2353 0.0000
La 0.7647 0.7647 0.0000
Tb 0.1710 0.3613 0.8098
Tb 0.4485 0.6387 0.8098
Tb 0.5000 0.0000 0.5000
Tb 0.5515 0.3613 0.1902
Tb 0.8290 0.6387 0.1902
Y 0.0996 0.0996 0.0000
Y 0.1869 0.5000 0.6869
Y 0.8131 0.5000 0.3131
Y 0.9004 0.9004 0.0000

Values from the calculation:
* ΔE_f: 203 meV/atom
* energy relative to the lowest polymorph listed for this composition: 0.057 eV/atom
* crystal system: orthorhombic
* spin magnetization: 0.0 Bohr magnetons per cell



No. 2
Below is crystalline SmHo4Th at its relaxed geometry, with properties calculated at the PBE level.

Cell lengths 8.4819, 8.4819, 6.6067 Å; angles 100.24, 100.24, 117.47 degrees
Fractional coordinates of all 12 atoms:
Sm 0.0878 0.9122 0.7500
Sm 0.9122 0.0878 0.2500
Ho 0.0742 0.3320 0.8756
Ho 0.2150 0.6005 0.4667
Ho 0.3320 0.0742 0.3756
Ho 0.3995 0.7850 0.0333
Ho 0.6005 0.2150 0.9667
Ho 0.6680 0.9258 0.6244
Ho 0.7850 0.3995 0.5333
Ho 0.9258 0.6680 0.1244
Th 0.4992 0.5008 0.2500
Th 0.5008 0.4992 0.7500

Values from the calculation:
* ΔE_f: 160 meV/atom
* energy relative to the lowest polymorph listed for this composition: 0.138 eV/atom
* crystal system: monoclinic
* spin magnetization: 0.0 Bohr magnetons per cell



No. 3
Below is crystalline SrSb2Ir at its relaxed geometry, with properties calculated at the PBE level.

Cell lengths 4.3427, 4.3427, 7.0256 Å; angles 108.04, 108.04, 59.88 degrees
Fractional coordinates of all 4 atoms:
Sr 0.0000 0.0000 0.0000
Sb 0.2154 0.2154 0.6489
Sb 0.4397 0.4397 0.3195
Ir 0.8231 0.8231 0.4708

Values from the calculation:
* crystal system: monoclinic
* raw formation energy: -0.5629 eV/atom
* spin magnetization: 0.0 Bohr magnetons per cell